No. 1
Below is a geometry-optimized TaAgRh3 structure, with properties calculated at the PBE level.

- ΔE_f: 1769 meV/atom
- M_tot: 0.00 μB per cell
- Crystal system: cubic
- E above lowest polymorph: 0.9200 eV per atom
- D(E_F): 3.17 states/eV/cell

Cell lengths 4.666, 4.666, 4.666 Å; angles 90.00, 90.00, 90.00 degrees
Positions (direct):
Ta (0.000, 0.000, 0.000)
Ag (0.500, 0.500, 0.500)
Rh (0.000, 0.500, 0.500)
Rh (0.500, 0.000, 0.500)
Rh (0.500, 0.500, 0.000)

No. 2
Below is a geometry-optimized Hf3NbH structure, with properties calculated at the PBE level.

- M_tot: 0.00 μB per cell
- Crystal system: cubic
- E above lowest polymorph: 1.6163 eV per atom
- D(E_F): 5.78 states/eV/cell

Cell lengths 5.104, 5.104, 5.104 Å; angles 90.00, 90.00, 90.00 degrees
Positions (direct):
Hf (0.000, 0.000, 0.500)
Hf (0.000, 0.500, 0.000)
Hf (0.500, 0.000, 0.000)
Nb (0.000, 0.000, 0.000)
H (0.500, 0.500, 0.500)

No. 3
Below is a geometry-optimized LaSb3Se6 structure, with properties calculated at the PBE level.

- M_tot: 0.00 μB per cell
- Raw formation energy: -712 meV/atom
- Crystal system: monoclinic

Cell lengths 12.263, 4.101, 12.439 Å; angles 90.00, 106.69, 90.00 degrees
Positions (direct):
La (0.190, 0.250, 0.035)
La (0.810, 0.750, 0.965)
Sb (0.042, 0.750, 0.297)
Sb (0.341, 0.250, 0.436)
Sb (0.397, 0.750, 0.851)
Sb (0.603, 0.250, 0.149)
Sb (0.659, 0.750, 0.564)
Sb (0.958, 0.250, 0.703)
Se (0.031, 0.750, 0.888)
Se (0.125, 0.250, 0.456)
Se (0.232, 0.750, 0.236)
Se (0.245, 0.250, 0.798)
Se (0.390, 0.750, 0.062)
Se (0.406, 0.750, 0.587)
Se (0.594, 0.250, 0.413)
Se (0.610, 0.250, 0.938)
Se (0.755, 0.750, 0.202)
Se (0.768, 0.250, 0.764)
Se (0.875, 0.750, 0.544)
Se (0.969, 0.250, 0.112)

No. 4
Below is a geometry-optimized TbThSc2 structure, with properties calculated at the PBE level.

- ΔE_f: 69 meV/atom
- M_tot: 0.00 μB per cell
- Crystal system: trigonal
- E above lowest polymorph: 0.0494 eV per atom
- D(E_F): 19.10 states/eV/cell

Cell lengths 3.433, 3.433, 33.180 Å; angles 90.00, 90.00, 120.00 degrees
Positions (direct):
Tb (0.000, 0.000, 0.000)
Tb (0.333, 0.667, 0.667)
Tb (0.667, 0.333, 0.333)
Th (0.000, 0.000, 0.834)
Th (0.333, 0.667, 0.501)
Th (0.667, 0.333, 0.167)
Sc (0.000, 0.000, 0.416)
Sc (0.000, 0.000, 0.584)
Sc (0.333, 0.667, 0.083)
Sc (0.333, 0.667, 0.251)
Sc (0.667, 0.333, 0.750)
Sc (0.667, 0.333, 0.917)